Record 1
First-principles (GGA-PBE) data for a relaxed structure of TaTc2Sb2, as listed in the Alexandria database.

The mass density comes out at 10.2 g/cm³. The total magnetic moment is 0.60 μB/cell. Its formation energy from raw total energies is 0.72 eV/atom. Its density of states at the Fermi level is 1.03 states/eV/atom. The total DFT energy (no corrections) comes out at -74.5 eV for the cell shown.

The space group is I4/mmm (No. 139) and the conventional cell measures 4.977, 4.977 and 8.160 Å, with angles of 90.00, 90.00 and 90.00 degrees. The inequivalent atoms are Ta at (0.000, 0.000, 0.000), Tc at (0.000, 0.000, 0.360) and Sb at (0.000, 0.500, 0.250).

Record 2
First-principles (GGA-PBE) data for a relaxed structure of TaTcSb, as listed in the Alexandria database.

The mass density comes out at 10.5 g/cm³. The total magnetic moment is 0.00 μB/cell. Its formation energy from raw total energies is 0.42 eV/atom. The distance to the lowest polymorph of the same formula comes out at 420 meV per atom. Its density of states at the Fermi level is 0.76 states/eV/atom. The total DFT energy (no corrections) comes out at -100.4 eV for the cell shown.

The space group is F-43m (No. 216) and the conventional cell measures 6.331, 6.331 and 6.331 Å, with angles of 90.00, 90.00 and 90.00 degrees. The inequivalent atoms are Ta at (0.000, 0.000, 0.000), Tc at (0.250, 0.250, 0.750) and Sb at (0.250, 0.250, 0.250).

Record 3
First-principles (GGA-PBE) data for a relaxed structure of TaTc3Sb, as listed in the Alexandria database.

The mass density comes out at 9.5 g/cm³. The total magnetic moment is 0.00 μB/cell. Its formation energy from raw total energies is 1.79 eV/atom. The distance to the lowest polymorph of the same formula comes out at 218 meV per atom. Its density of states at the Fermi level is 0.61 states/eV/atom. The total DFT energy (no corrections) comes out at -38.1 eV for the cell shown.

The space group is Pm-3m (No. 221) and the conventional cell measures 4.709, 4.709 and 4.709 Å, with angles of 90.00, 90.00 and 90.00 degrees. The inequivalent atoms are Ta at (0.000, 0.000, 0.000), Tc at (0.000, 0.500, 0.500) and Sb at (0.500, 0.500, 0.500).